VASP calculation (GGA-PBEsol) on an optimized crystal structure of AgAsPt2.

The formation energy from the elements is -0.04 eV/f.u. For the calculated total energy, the calculation gives -22.39 eV per cell.

The space group is Pmm2 (No. 25) and the conventional cell measures 2.8775, 3.8344 and 5.8101 Å, with angles of 90.00, 90.00 and 90.00 degrees. Symmetry generates all atoms from Ag at (0.0000, 0.0000, 0.0000), As at (0.5000, 0.5000, 0.3076), Pt at (0.0000, 0.0000, 0.4964) and Pt at (0.5000, 0.5000, 0.7554).

VASP calculation (GGA-PBEsol) on an optimized crystal structure of Hf5CuPb3.

The formation energy from the elements is -1.47 eV/f.u. For the calculated total energy, the calculation gives -140.64 eV per cell.

The space group is P6_3/mcm (No. 193) and the conventional cell measures 8.5880, 8.5880 and 5.8004 Å, with angles of 90.00, 90.00 and 120.00 degrees. Symmetry generates all atoms from Hf at (0.0000, 0.2570, 0.2500), Hf at (0.3333, 0.6667, 0.0000), Cu at (0.0000, 0.0000, 0.0000) and Pb at (0.0000, 0.3879, 0.7500).

VASP calculation (GGA-PBEsol) on an optimized crystal structure of Y5Pt.

The calculation puts the polymorph energy (0 for the lowest one) at 0.000 eV per atom. The formation energy from the elements is -2.31 eV/f.u. For the calculated total energy, the calculation gives -86.77 eV per cell.

The space group is C2/m (No. 12) and the conventional cell measures 11.9114, 3.6221 and 8.1726 Å, with angles of 90.00, 111.40 and 90.00 degrees. Symmetry generates all atoms from Y at (0.0000, 0.0000, 0.0000), Y at (0.1342, 0.5000, 0.3703), Y at (0.1673, 0.5000, 0.7955) and Pt at (0.0000, 0.0000, 0.5000).

VASP calculation (GGA-PBEsol) on an optimized crystal structure of MnZnO3.

For the calculated total energy, the calculation gives -138.51 eV per cell. As for the energy relative to the elements, uncorrected: -727 kJ/mol of formula units.

The space group is Pnma (No. 62) and the conventional cell measures 5.0728, 7.2363 and 4.9789 Å, with angles of 90.00, 90.00 and 90.00 degrees. Symmetry generates all atoms from Mn at (0.0000, 0.0000, 0.0000), Zn at (0.0470, 0.2500, 0.4938), O at (0.0587, 0.7500, 0.1161) and O at (0.1884, 0.5620, 0.6839).

VASP calculation (GGA-PBEsol) on an optimized crystal structure of TeHPd3.

For the calculated total energy, the calculation gives -25.69 eV per cell.

The space group is Pm-3m (No. 221) and the conventional cell measures 4.0816, 4.0816 and 4.0816 Å, with angles of 90.00, 90.00 and 90.00 degrees. Symmetry generates all atoms from Te at (0.0000, 0.0000, 0.0000), H at (0.5000, 0.5000, 0.5000) and Pd at (0.0000, 0.5000, 0.5000).

VASP calculation (GGA-PBEsol) on an optimized crystal structure of Sc3Be.

The calculation puts the polymorph energy (0 for the lowest one) at 0.014 eV per atom. The formation energy from the elements is 0.09 eV/f.u. For the calculated total energy, the calculation gives -47.45 eV per cell.

The space group is Immm (No. 71) and the conventional cell measures 3.2986, 4.6722 and 10.1028 Å, with angles of 90.00, 90.00 and 90.00 degrees. Symmetry generates all atoms from Sc at (0.0000, 0.0000, 0.0000), Sc at (0.0000, 0.5000, 0.2099) and Be at (0.0000, 0.0000, 0.5000).

VASP calculation (GGA-PBEsol) on an optimized crystal structure of CrHg2Pb.

The formation energy from the elements is 1.75 eV/f.u. For the calculated total energy, the calculation gives -54.51 eV per cell.

The space group is F-43m (No. 216) and the conventional cell measures 7.0543, 7.0543 and 7.0543 Å, with angles of 90.00, 90.00 and 90.00 degrees. Symmetry generates all atoms from Cr at (0.0000, 0.0000, 0.0000), Hg at (0.0000, 0.0000, 0.5000), Hg at (0.2500, 0.2500, 0.2500) and Pb at (0.2500, 0.2500, 0.7500).

VASP calculation (GGA-PBEsol) on an optimized crystal structure of BaTeAs.

For the calculated total energy, the calculation gives -25.27 eV per cell. As for the energy relative to the elements, uncorrected: -179 kJ/mol of formula units.

The space group is I4mm (No. 107) and the conventional cell measures 4.1294, 4.1294 and 11.1022 Å, with angles of 90.00, 90.00 and 90.00 degrees. Symmetry generates all atoms from Ba at (0.0000, 0.0000, 0.0000), Te at (0.0000, 0.0000, 0.7074) and As at (0.0000, 0.0000, 0.2831).

Look up the calculated total energy of the eighth one.
-25.27 eV per cell

What did the first record say?
VASP calculation (GGA-PBEsol) on an optimized crystal structure of AgAsPt2.

The formation energy from the elements is -0.04 eV/f.u. For the calculated total energy, the calculation gives -22.39 eV per cell.

The space group is Pmm2 (No. 25) and the conventional cell measures 2.8775, 3.8344 and 5.8101 Å, with angles of 90.00, 90.00 and 90.00 degrees. Symmetry generates all atoms from Ag at (0.0000, 0.0000, 0.0000), As at (0.5000, 0.5000, 0.3076), Pt at (0.0000, 0.0000, 0.4964) and Pt at (0.5000, 0.5000, 0.7554).

Which of these has the lowest calculated total energy?
Hf5CuPb3